[1]
Compound: Cr2InRu
Source: Alexandria via LeMat-Bulk
Functional: meta-GGA SCAN
Structure: single point on PBEsol structure

CIF file:
```
data_Cr2InRu
_cell_length_a 2.9579
_cell_length_b 2.9579
_cell_length_c 6.3629
_cell_angle_alpha 90.00
_cell_angle_beta 90.00
_cell_angle_gamma 90.00
_space_group_name_H-M_alt 'P 4 m m'
_space_group_IT_number 99
loop_
_space_group_symop_operation_xyz
'x,y,z'
'-y,x,z'
'-x,-y,z'
'y,-x,z'
'-x,y,z'
'y,x,z'
'x,-y,z'
'-y,-x,z'
loop_
_atom_site_label
_atom_site_type_symbol
_atom_site_fract_x
_atom_site_fract_y
_atom_site_fract_z
Cr1 Cr 0.0000 0.0000 0.0000
Cr2 Cr 0.5000 0.5000 0.1839
In1 In 0.0000 0.0000 0.4747
Ru1 Ru 0.5000 0.5000 0.7647
```

Computed properties:
Energy above the lowest structure with this stoichiometry in meV/atom: 78
ΔE_f in kJ per mole of atoms: 11.6

[2]
Compound: CrInSn2S
Source: Alexandria via LeMat-Bulk
Functional: meta-GGA SCAN
Structure: single point on PBEsol structure

CIF file:
```
data_CrInSn2S
_cell_length_a 5.3775
_cell_length_b 5.3775
_cell_length_c 4.3757
_cell_angle_alpha 90.00
_cell_angle_beta 90.00
_cell_angle_gamma 90.00
_space_group_name_H-M_alt 'P 4/m m m'
_space_group_IT_number 123
_space_group_name_Hall '-P 4 2'
loop_
_atom_site_label
_atom_site_type_symbol
_atom_site_fract_x
_atom_site_fract_y
_atom_site_fract_z
Cr1 Cr 0.0000 0.0000 0.0000
In1 In 0.5000 0.5000 0.0000
Sn1 Sn 0.0000 0.5000 0.5000
S1 S 0.0000 0.0000 0.5000
```

Computed properties:
Energy relative to the elements, uncorrected in eV per atom: 0.2464

[3]
Compound: CrInSb2
Source: Alexandria via LeMat-Bulk
Functional: meta-GGA SCAN
Structure: single point on PBEsol structure

CIF file:
```
data_CrInSb2
_cell_length_a 4.2479
_cell_length_b 3.9739
_cell_length_c 5.9236
_cell_angle_alpha 90.00
_cell_angle_beta 108.40
_cell_angle_gamma 90.00
_space_group_name_H-M_alt 'P 1 2/m 1'
_space_group_IT_number 10
loop_
_space_group_symop_operation_xyz
'x,y,z'
'-x,-y,-z'
'-x,y,-z'
'x,-y,z'
loop_
_atom_site_label
_atom_site_type_symbol
_atom_site_fract_x
_atom_site_fract_y
_atom_site_fract_z
Cr1 Cr 0.0000 0.0000 0.0000
In1 In 0.0000 0.0000 0.5000
Sb1 Sb 0.4278 0.5000 0.2212
```

Computed properties:
Energy relative to the elements, uncorrected in eV per atom: 0.1355

[4]
Compound: Sc3CrIn
Source: Alexandria via LeMat-Bulk
Functional: meta-GGA SCAN
Structure: single point on PBEsol structure

CIF file:
```
data_Sc3CrIn
_cell_length_a 5.2664
_cell_length_b 5.2664
_cell_length_c 5.2664
_cell_angle_alpha 90.00
_cell_angle_beta 90.00
_cell_angle_gamma 90.00
_space_group_name_H-M_alt 'P m -3 m'
_space_group_IT_number 221
_space_group_name_Hall '-P 4 2 3'
loop_
_atom_site_label
_atom_site_type_symbol
_atom_site_fract_x
_atom_site_fract_y
_atom_site_fract_z
Sc1 Sc 0.0000 0.0000 0.5000
Cr1 Cr 0.5000 0.5000 0.5000
In1 In 0.0000 0.0000 0.0000
```

Computed properties:
ΔE_f in kJ per mole of atoms: 60.7

[5]
Compound: ScCrIn3
Source: Alexandria via LeMat-Bulk
Functional: meta-GGA SCAN
Structure: single point on PBEsol structure

CIF file:
```
data_ScCrIn3
_cell_length_a 4.9332
_cell_length_b 4.9332
_cell_length_c 4.9332
_cell_angle_alpha 90.00
_cell_angle_beta 90.00
_cell_angle_gamma 90.00
_space_group_name_H-M_alt 'P m -3 m'
_space_group_IT_number 221
_space_group_name_Hall '-P 4 2 3'
loop_
_atom_site_label
_atom_site_type_symbol
_atom_site_fract_x
_atom_site_fract_y
_atom_site_fract_z
Sc1 Sc 0.0000 0.0000 0.0000
Cr1 Cr 0.5000 0.5000 0.5000
In1 In 0.0000 0.5000 0.5000
```

Computed properties:
ΔE_f in kJ per mole of atoms: 28.5

[6]
Compound: ScCrIn2Sn
Source: Alexandria via LeMat-Bulk
Functional: meta-GGA SCAN
Structure: single point on PBEsol structure

CIF file:
```
data_ScCrIn2Sn
_cell_length_a 5.1080
_cell_length_b 5.1080
_cell_length_c 4.5690
_cell_angle_alpha 90.00
_cell_angle_beta 90.00
_cell_angle_gamma 90.00
_space_group_name_H-M_alt 'P 4/m m m'
_space_group_IT_number 123
_space_group_name_Hall '-P 4 2'
loop_
_atom_site_label
_atom_site_type_symbol
_atom_site_fract_x
_atom_site_fract_y
_atom_site_fract_z
Sc1 Sc 0.0000 0.0000 0.0000
Cr1 Cr 0.0000 0.0000 0.5000
In1 In 0.0000 0.5000 0.5000
Sn1 Sn 0.5000 0.5000 0.0000
```

Computed properties:
ΔE_f in kJ per mole of atoms: 32.4